This record from Alexandria describes Li2GdTm after structural relaxation. The functional is PBE.

POSCAR file:
```
Li2GdTm
1.0
5.2255 0.0000 0.0000
0.0000 5.2255 0.0000
0.0000 0.0000 3.6880
Li Gd Tm
2 1 1
direct
0.0000 0.5000 0.0000
0.5000 0.0000 0.0000
0.0000 0.0000 0.5000
0.5000 0.5000 0.5000
```

Properties
ΔE to the lowest computed polymorph = 0.000 eV/atom
magnetization = 7.70 Bohr magnetons per cell
symmetry = No. 123
formation energy from the elements = 0.143 eV per atom

This record from Alexandria describes Pr8RuRh5 after structural relaxation. The functional is PBE.

POSCAR file:
```
Pr8RuRh5
1.0
-4.4606 4.4606 4.4708
4.4606 -4.4606 4.4708
4.4606 4.4606 -4.4708
Pr Ru Rh
8 1 5
direct
0.0039 0.8744 0.2500
0.1256 0.3755 0.1295
0.1278 0.3773 0.6349
0.2460 0.9961 0.8705
0.5071 0.8722 0.2495
0.6227 0.2576 0.7505
0.6245 0.7540 0.7500
0.7424 0.4929 0.3651
0.5000 0.5000 0.0000
0.2500 0.7500 0.5000
0.3728 0.2481 0.3715
0.7519 0.1234 0.1248
0.8766 0.0014 0.6285
0.9986 0.6272 0.8752
```

Properties
magnetization = 0.00 Bohr magnetons per cell
symmetry = No. 82
formation energy from the elements = -0.509 eV per atom

This record from Alexandria describes ErU2Tl3Te6 after structural relaxation. The functional is PBE.

POSCAR file:
```
ErU2Tl3Te6
1.0
3.8299 -6.6328 0.0000
3.8299 6.6328 0.0000
-2.5515 0.0000 8.2824
Er U Tl Te
1 2 3 6
direct
0.0000 0.0000 0.0000
0.3336 0.6664 0.0000
0.6664 0.3336 0.0000
0.1677 0.8323 0.5000
0.5000 0.5000 0.5000
0.8323 0.1677 0.5000
0.0714 0.4007 0.2144
0.2573 0.2573 0.7845
0.4007 0.0714 0.2144
0.5993 0.9286 0.7856
0.7427 0.7427 0.2155
0.9286 0.5993 0.7856
```

Properties
formation energy (no corrections) = -0.681 eV/atom
magnetization = 6.00 Bohr magnetons per cell
symmetry = No. 12

This record from Alexandria describes LiPm2Ga2 after structural relaxation. The functional is PBE.

POSCAR file:
```
LiPm2Ga2
1.0
-3.2259 6.2534 3.0742
3.2259 -6.2534 3.0742
3.2259 6.2534 -3.0742
Li Pm Ga
2 4 4
direct
0.2500 0.2500 0.0000
0.7500 0.7500 0.0000
0.1457 0.6986 0.8444
0.3543 0.1986 0.5529
0.6457 0.8014 0.4471
0.8543 0.3014 0.1556
0.1107 0.2214 0.3321
0.3893 0.7214 0.1107
0.6107 0.2786 0.8893
0.8893 0.7786 0.6679
```

Properties
ΔE to the lowest computed polymorph = 0.158 eV/atom
magnetization = 0.00 Bohr magnetons per cell
symmetry = No. 72
formation energy from the elements = -0.297 eV per atom

This record from Alexandria describes Cr4TcAs after structural relaxation. The functional is PBE.

POSCAR file:
```
Cr4TcAs
1.0
0.0000 3.3681 3.3681
3.3681 0.0000 3.3681
3.3681 3.3681 0.0000
Cr Tc As
4 1 1
direct
0.3771 0.3771 0.3771
0.3771 0.3771 0.8688
0.3771 0.8688 0.3771
0.8688 0.3771 0.3771
0.0000 0.0000 0.0000
0.7500 0.7500 0.7500
```

Properties
magnetization = 0.00 Bohr magnetons per cell
symmetry = No. 216
formation energy from the elements = 0.253 eV per atom

This record from Alexandria describes HoTi2ReC4 after structural relaxation. The functional is PBE.

POSCAR file:
```
HoTi2ReC4
1.0
1.5931 -5.6456 0.0000
1.5931 5.6456 0.0000
0.0000 0.0000 11.0608
Ho Ti Re C
2 4 2 8
direct
0.1088 0.8912 0.7500
0.8912 0.1088 0.2500
0.3714 0.6286 0.5344
0.3714 0.6286 0.9656
0.6286 0.3714 0.0344
0.6286 0.3714 0.4656
0.1564 0.8436 0.2500
0.8436 0.1564 0.7500
0.0000 0.0000 0.0000
0.0000 0.0000 0.5000
0.2610 0.7390 0.1122
0.2610 0.7390 0.3878
0.4494 0.5506 0.7500
0.5506 0.4494 0.2500
0.7390 0.2610 0.6122
0.7390 0.2610 0.8878
```

Properties
magnetization = 0.00 Bohr magnetons per cell
symmetry = No. 63
formation energy from the elements = -0.272 eV per atom

This record from Alexandria describes LiZrS after structural relaxation. The functional is PBE.

POSCAR file:
```
LiZrS
1.0
4.0403 0.0000 0.0000
0.0000 4.0403 0.0000
0.0000 0.0000 6.7571
Li Zr S
2 2 2
direct
0.2500 0.2500 0.1372
0.7500 0.7500 0.8628
0.2500 0.7500 0.5000
0.7500 0.2500 0.5000
0.2500 0.2500 0.7747
0.7500 0.7500 0.2253
```

Properties
formation energy (no corrections) = -0.949 eV/atom
magnetization = 0.00 Bohr magnetons per cell
symmetry = No. 129

This record from Alexandria describes Pm6Dy3Tm after structural relaxation. The functional is PBE.

POSCAR file:
```
Pm6Dy3Tm
1.0
5.4836 -9.6326 0.0000
5.4836 9.6326 0.0000
0.0000 0.0000 6.3288
Pm Dy Tm
12 6 2
direct
0.0377 0.9623 0.5000
0.0571 0.4790 0.9626
0.2785 0.7215 0.2553
0.2876 0.3748 0.1522
0.3748 0.2876 0.6522
0.4790 0.0571 0.4626
0.5210 0.9429 0.9626
0.6252 0.7124 0.1522
0.7124 0.6252 0.6522
0.7215 0.2785 0.7553
0.9429 0.5210 0.4626
0.9623 0.0377 0.0000
0.0547 0.2815 0.5728
0.2815 0.0547 0.0728
0.3864 0.6136 0.6824
0.6136 0.3864 0.1824
0.7185 0.9453 0.5728
0.9453 0.7185 0.0728
0.1965 0.8035 0.7212
0.8035 0.1965 0.2212
```

Properties
ΔE to the lowest computed polymorph = 0.000 eV/atom
magnetization = 0.00 Bohr magnetons per cell
symmetry = No. 36
formation energy from the elements = 0.142 eV per atom